# BaNpTe3 PBE-GGA optimized geometry
data_BaNpTe3
_space_group_name_H-M_alt 'P n m a'
_space_group_IT_number 62
_space_group_name_Hall '-P 2ac 2n'
_cell_length_a 9.789
_cell_length_b 4.601
_cell_length_c 16.415
_cell_angle_alpha 90.00
_cell_angle_beta 90.00
_cell_angle_gamma 90.00
loop_
_atom_site_label
_atom_site_type_symbol
_atom_site_fract_x
_atom_site_fract_y
_atom_site_fract_z
_atom_site_occupancy
Ba1 Ba 0.069 0.250 0.178 1
Np1 Np 0.168 0.750 0.445 1
Te1 Te 0.022 0.750 0.608 1
Te2 Te 0.162 0.750 0.014 1
Te3 Te 0.204 0.250 0.780 1
# Formation energy without anion corrections   -5.3 eV/f.u.
# Excess energy over the best structure of this formula in the dataset   0.0 meV/atom

# RbSbS2O8 PBE-GGA optimized geometry
data_RbSbS2O8
_space_group_name_H-M_alt 'R -3'
_space_group_IT_number 148
_space_group_name_Hall '-R 3'
_cell_length_a 5.1437
_cell_length_b 5.1437
_cell_length_c 25.7006
_cell_angle_alpha 90.00
_cell_angle_beta 90.00
_cell_angle_gamma 120.00
loop_
_atom_site_label
_atom_site_type_symbol
_atom_site_fract_x
_atom_site_fract_y
_atom_site_fract_z
_atom_site_occupancy
Rb1 Rb 0.0000 0.0000 0.0000 1
Sb1 Sb 0.0000 0.0000 0.5000 1
S1 S 0.0000 0.0000 0.2408 1
O1 O 0.0000 0.0000 0.2977 1
O2 O 0.0105 0.7304 0.2205 1
# Formation energy without anion corrections   -17.9 eV/f.u.

| no. | V (Å³/atom) | D(E_F) (states/eV per atom) |
| --- | --- | --- |
| 1 | 37.0 | 1.751 |
| 2 | 16.4 | 0.000 |